## BeFePO2 (PBE+U)

Data for crystalline BeFePO2 at its relaxed geometry.

Summary:
Magnetic moment: 0.68 μB/atom
Excess energy over the best structure of this formula in the dataset: 0.000 eV per formula unit

Lattice parameters (Å, degrees): 3.424 3.424 4.924 90.00 90.00 90.00
Fractional coordinates of all 5 atoms:
Be: 0.000 0.000 0.000
Fe: 0.500 0.500 0.500
P: 0.000 0.000 0.500
O: 0.000 0.500 0.000
O: 0.500 0.000 0.000